# PBE YTaSb2, relaxed
# - Magnetization: 0.00 μB per atom
# - ΔE to the lowest computed polymorph: 178 meV per atom
# - Uncorrected formation energy: -0.14 eV/atom
data_YTaSb2
_cell_length_a 5.005
_cell_length_b 5.005
_cell_length_c 3.692
_cell_angle_alpha 90.00
_cell_angle_beta 90.00
_cell_angle_gamma 90.00
_symmetry_space_group_name_H-M 'P 4/m m m'
_symmetry_Int_Tables_number 123
_symmetry_space_group_name_Hall '-P 4 2'
loop_
_atom_site_label
_atom_site_fract_x
_atom_site_fract_y
_atom_site_fract_z
Y1 0.000 0.000 0.000
Ta1 0.500 0.500 0.000
Sb1 0.000 0.500 0.500

# PBE BaSrCu2, relaxed
# - Magnetization: 0.00 μB per atom
# - ΔE to the lowest computed polymorph: 0 meV per atom
# - ΔE_f: -0.047 eV/atom
data_BaSrCu2
_cell_length_a 4.432
_cell_length_b 4.532
_cell_length_c 12.429
_cell_angle_alpha 90.00
_cell_angle_beta 90.00
_cell_angle_gamma 90.00
_symmetry_space_group_name_H-M 'A m m 2'
_symmetry_Int_Tables_number 38
loop_
_symmetry_equiv_pos_as_xyz
'x,y,z'
'-x,-y,z'
'-x,y,z'
'x,-y,z'
'x,y+1/2,z+1/2'
'-x,-y+1/2,z+1/2'
'-x,y+1/2,z+1/2'
'x,-y+1/2,z+1/2'
loop_
_atom_site_label
_atom_site_fract_x
_atom_site_fract_y
_atom_site_fract_z
Ba1 0.000 0.000 0.000
Sr1 0.500 0.000 0.727
Cu1 0.000 0.000 0.303
Cu2 0.500 0.000 0.404

# PBE TlMoPOsRu, relaxed
# - Magnetization: 0.00 μB per atom
# - ΔE to the lowest computed polymorph: 119 meV per atom
# - ΔE_f: 0.176 eV/atom
data_TlMoPOsRu
_cell_length_a 3.055
_cell_length_b 4.548
_cell_length_c 11.638
_cell_angle_alpha 90.00
_cell_angle_beta 90.00
_cell_angle_gamma 90.00
_symmetry_space_group_name_H-M 'I m m 2'
_symmetry_Int_Tables_number 44
loop_
_symmetry_equiv_pos_as_xyz
'x,y,z'
'-x,-y,z'
'-x,y,z'
'x,-y,z'
'x+1/2,y+1/2,z+1/2'
'-x+1/2,-y+1/2,z+1/2'
'-x+1/2,y+1/2,z+1/2'
'x+1/2,-y+1/2,z+1/2'
loop_
_atom_site_label
_atom_site_fract_x
_atom_site_fract_y
_atom_site_fract_z
Tl1 0.000 0.000 0.000
Mo1 0.000 0.000 0.412
P1 0.000 0.000 0.632
Os1 0.000 0.500 0.279
Ru1 0.000 0.500 0.721

Calculated energy, -6.780, -2.996, -7.646 eV per atom (same order as the records).